Entry 1:
Density functional theory data (PBE) for Zn2NiAgH after structural relaxation.

Cell lengths 4.583, 4.583, 4.940 Å; angles 90.00, 90.00, 90.00 degrees
Space group P4/mmm (No. 123)
Symmetry-distinct sites (fractional):
Zn (0.000, 0.500, 0.000) (multiplicity 2)
Ni (0.000, 0.000, 0.000) (multiplicity 1)
Ag (0.000, 0.000, 0.500) (multiplicity 1)
H (0.500, 0.500, 0.500) (multiplicity 1)

Results
energy relative to the lowest polymorph listed for this composition	0.838	eV/atom



Entry 2:
Density functional theory data (PBE) for SmHo3Au2 after structural relaxation.

Cell lengths 4.969, 8.951, 7.149 Å; angles 90.00, 90.00, 90.00 degrees
Space group Pmc2_1 (No. 26)
Symmetry-distinct sites (fractional):
Sm (0.000, 0.074, 0.000) (multiplicity 2)
Ho (0.000, 0.332, 0.637) (multiplicity 2)
Ho (0.500, 0.170, 0.338) (multiplicity 2)
Ho (0.500, 0.428, 0.975) (multiplicity 2)
Au (0.000, 0.352, 0.234) (multiplicity 2)
Au (0.500, 0.155, 0.742) (multiplicity 2)

Results
ΔE_f	-0.6298	eV/atom
energy relative to the lowest polymorph listed for this composition	0.000	eV/atom



Entry 3:
Density functional theory data (PBE) for La2MoPb after structural relaxation.

Cell lengths 6.817, 9.118, 3.541 Å; angles 90.00, 90.00, 90.00 degrees
Space group Cmmm (No. 65)
Symmetry-distinct sites (fractional):
La (0.250, 0.250, 0.000) (multiplicity 4)
Mo (0.000, 0.000, 0.500) (multiplicity 2)
Pb (0.000, 0.500, 0.500) (multiplicity 2)

Results
ΔE_f	0.1888	eV/atom



Entry 4:
Density functional theory data (PBE) for CaZn2Au after structural relaxation.

Cell lengths 3.599, 4.659, 5.190 Å; angles 90.00, 90.08, 90.00 degrees
Space group P2/m (No. 10)
Symmetry-distinct sites (fractional):
Ca (0.000, 0.000, 0.000) (multiplicity 1)
Zn (0.499, 0.500, 0.748) (multiplicity 2)
Au (0.500, 0.000, 0.500) (multiplicity 1)

Results
ΔE_f	-0.3571	eV/atom



Entry 5:
Density functional theory data (PBE) for ReAsC3 after structural relaxation.

Cell lengths 4.059, 4.059, 4.059 Å; angles 90.00, 90.00, 90.00 degrees
Space group Pm-3m (No. 221)
Symmetry-distinct sites (fractional):
Re (0.000, 0.000, 0.000) (multiplicity 1)
As (0.500, 0.500, 0.500) (multiplicity 1)
C (0.000, 0.000, 0.500) (multiplicity 3)

Results
ΔE_f	2.0253	eV/atom
energy relative to the lowest polymorph listed for this composition	0.000	eV/atom



Entry 6:
Density functional theory data (PBE) for Zr2GeRuCl after structural relaxation.

Cell lengths 4.693, 4.693, 4.741 Å; angles 90.00, 90.00, 90.00 degrees
Space group P4/mmm (No. 123)
Symmetry-distinct sites (fractional):
Zr (0.000, 0.500, 0.000) (multiplicity 2)
Ge (0.000, 0.000, 0.500) (multiplicity 1)
Ru (0.500, 0.500, 0.500) (multiplicity 1)
Cl (0.000, 0.000, 0.000) (multiplicity 1)

Results
energy relative to the elements, uncorrected	0.608	eV per atom



Entry 7:
Density functional theory data (PBE) for KBe2Hg after structural relaxation.

Cell lengths 6.495, 9.922, 2.693 Å; angles 90.00, 90.00, 90.00 degrees
Space group Cmmm (No. 65)
Symmetry-distinct sites (fractional):
K (0.000, 0.000, 0.000) (multiplicity 2)
Be (0.250, 0.250, 0.500) (multiplicity 4)
Hg (0.000, 0.500, 0.000) (multiplicity 2)

Results
ΔE_f	1.0635	eV/atom



Entry 8:
Density functional theory data (PBE) for La4BiP3Rh12 after structural relaxation.

Cell lengths 9.276, 9.276, 9.276 Å; angles 90.00, 90.00, 90.00 degrees
Space group Im-3m (No. 229)
Symmetry-distinct sites (fractional):
La (0.250, 0.250, 0.250) (multiplicity 8)
Bi (0.000, 0.000, 0.000) (multiplicity 2)
P (0.000, 0.000, 0.500) (multiplicity 6)
Rh (0.000, 0.000, 0.273) (multiplicity 12)
Rh (0.000, 0.250, 0.500) (multiplicity 12)

Results
ΔE_f	-0.4822	eV/atom



Entry 9:
Density functional theory data (PBE) for TaCuRe2Au after structural relaxation.

Cell lengths 4.761, 4.761, 4.682 Å; angles 90.00, 90.00, 90.00 degrees
Space group P4/mmm (No. 123)
Symmetry-distinct sites (fractional):
Ta (0.000, 0.000, 0.000) (multiplicity 1)
Cu (0.000, 0.000, 0.500) (multiplicity 1)
Re (0.000, 0.500, 0.000) (multiplicity 2)
Au (0.500, 0.500, 0.500) (multiplicity 1)

Results
ΔE_f	2.0573	eV/atom



Entry 10:
Density functional theory data (PBE) for ScAs2Os after structural relaxation.

Cell lengths 4.105, 4.720, 6.850 Å; angles 90.00, 90.00, 90.00 degrees
Space group Cmmm (No. 65)
Symmetry-distinct sites (fractional):
Sc (0.000, 0.000, 0.000) (multiplicity 2)
As (0.000, 0.500, 0.271) (multiplicity 4)
Os (0.000, 0.000, 0.500) (multiplicity 2)

Results
ΔE_f	-0.1747	eV/atom
energy relative to the lowest polymorph listed for this composition	0.241	eV/atom



Entry 11:
Density functional theory data (PBE) for Sb3Au4 after structural relaxation.

Cell lengths 3.753, 3.753, 22.751 Å; angles 90.00, 90.00, 90.00 degrees
Space group I4/mmm (No. 139)
Symmetry-distinct sites (fractional):
Sb (0.000, 0.000, 0.000) (multiplicity 2)
Sb (0.000, 0.000, 0.313) (multiplicity 4)
Au (0.000, 0.000, 0.134) (multiplicity 4)
Au (0.000, 0.000, 0.436) (multiplicity 4)

Results
energy relative to the elements, uncorrected	0.073	eV per atom
energy relative to the lowest polymorph listed for this composition	0.000	eV/atom



Entry 12:
Density functional theory data (PBE) for AlSi3C after structural relaxation.

Cell lengths 4.078, 4.078, 4.078 Å; angles 90.00, 90.00, 90.00 degrees
Space group Pm-3m (No. 221)
Symmetry-distinct sites (fractional):
Al (0.000, 0.000, 0.000) (multiplicity 1)
Si (0.000, 0.500, 0.500) (multiplicity 3)
C (0.500, 0.500, 0.500) (multiplicity 1)

Results
energy relative to the elements, uncorrected	0.825	eV per atom
energy relative to the lowest polymorph listed for this composition	0.000	eV/atom



Entry 13:
Density functional theory data (PBE) for VBTeI2 after structural relaxation.

Cell lengths 4.933, 4.933, 5.076 Å; angles 90.00, 90.00, 90.00 degrees
Space group P4/mmm (No. 123)
Symmetry-distinct sites (fractional):
V (0.000, 0.000, 0.000) (multiplicity 1)
B (0.500, 0.500, 0.500) (multiplicity 1)
Te (0.500, 0.500, 0.000) (multiplicity 1)
I (0.000, 0.500, 0.500) (multiplicity 2)

Results
energy relative to the elements, uncorrected	1.222	eV per atom
energy relative to the lowest polymorph listed for this composition	0.232	eV/atom



Entry 14:
Density functional theory data (PBE) for MnCo2W2 after structural relaxation.

Cell lengths 6.468, 6.468, 3.172 Å; angles 90.00, 90.00, 90.00 degrees
Space group P4/mbm (No. 127)
Symmetry-distinct sites (fractional):
Mn (0.000, 0.000, 0.000) (multiplicity 2)
Co (0.128, 0.372, 0.000) (multiplicity 4)
W (0.175, 0.675, 0.500) (multiplicity 4)

Results
ΔE_f	0.2149	eV/atom



Entry 15:
Density functional theory data (PBE) for Np2AlTl3Se6 after structural relaxation.

Cell lengths 7.158, 12.360, 8.073 Å; angles 90.00, 107.24, 90.00 degrees
Space group C2/m (No. 12)
Symmetry-distinct sites (fractional):
Np (0.000, 0.165, 0.000) (multiplicity 4)
Al (0.000, 0.500, 0.000) (multiplicity 2)
Tl (0.000, 0.000, 0.500) (multiplicity 2)
Tl (0.000, 0.326, 0.500) (multiplicity 4)
Se (0.217, 0.346, 0.190) (multiplicity 8)
Se (0.243, 0.500, 0.801) (multiplicity 4)

Results
energy relative to the elements, uncorrected	-0.773	eV per atom



Entry 16:
Density functional theory data (PBE) for V3GaGe after structural relaxation.

Cell lengths 4.538, 4.538, 4.538 Å; angles 90.00, 90.00, 90.00 degrees
Space group Pm-3m (No. 221)
Symmetry-distinct sites (fractional):
V (0.000, 0.000, 0.500) (multiplicity 3)
Ga (0.500, 0.500, 0.500) (multiplicity 1)
Ge (0.000, 0.000, 0.000) (multiplicity 1)

Results
ΔE_f	0.8171	eV/atom
energy relative to the lowest polymorph listed for this composition	0.893	eV/atom



Entry 17:
Density functional theory data (PBE) for SnSbP after structural relaxation.

Cell lengths 15.460, 4.195, 5.318 Å; angles 90.00, 101.71, 90.00 degrees
Space group Cm (No. 8)
Symmetry-distinct sites (fractional):
Sn (0.000, 0.000, 0.000) (multiplicity 2)
Sn (0.147, 0.000, 0.707) (multiplicity 2)
Sb (0.150, 0.500, 0.336) (multiplicity 2)
Sb (0.340, 0.500, 0.331) (multiplicity 2)
P (0.305, 0.000, 0.996) (multiplicity 2)
P (0.403, 0.000, 0.748) (multiplicity 2)

Results
energy relative to the elements, uncorrected	0.070	eV per atom
energy relative to the lowest polymorph listed for this composition	0.013	eV/atom



Entry 18:
Density functional theory data (PBE) for LiSn3Rh after structural relaxation.

Cell lengths 4.810, 4.810, 4.810 Å; angles 90.00, 90.00, 90.00 degrees
Space group Pm-3m (No. 221)
Symmetry-distinct sites (fractional):
Li (0.000, 0.000, 0.000) (multiplicity 1)
Sn (0.000, 0.000, 0.500) (multiplicity 3)
Rh (0.500, 0.500, 0.500) (multiplicity 1)

Results
ΔE_f	0.5029	eV/atom
energy relative to the lowest polymorph listed for this composition	0.832	eV/atom



Entry 19:
Density functional theory data (PBE) for ZrCdFe2 after structural relaxation.

Cell lengths 3.070, 3.070, 7.037 Å; angles 90.00, 90.00, 90.00 degrees
Space group P4mm (No. 99)
Symmetry-distinct sites (fractional):
Zr (0.000, 0.000, 0.000) (multiplicity 1)
Cd (0.500, 0.500, 0.666) (multiplicity 1)
Fe (0.000, 0.000, 0.413) (multiplicity 1)
Fe (0.500, 0.500, 0.244) (multiplicity 1)

Results
ΔE_f	0.0439	eV/atom



Entry 20:
Density functional theory data (PBE) for TaNiIN2 after structural relaxation.

Cell lengths 3.927, 3.927, 4.771 Å; angles 90.00, 90.00, 90.00 degrees
Space group P4/mmm (No. 123)
Symmetry-distinct sites (fractional):
Ta (0.000, 0.000, 0.000) (multiplicity 1)
Ni (0.500, 0.500, 0.500) (multiplicity 1)
I (0.500, 0.500, 0.000) (multiplicity 1)
N (0.000, 0.500, 0.500) (multiplicity 2)

Results
energy relative to the elements, uncorrected	1.764	eV per atom
energy relative to the lowest polymorph listed for this composition	1.189	eV/atom



Entry 21:
Density functional theory data (PBE) for LiSiGeHF after structural relaxation.

Cell lengths 2.637, 2.638, 10.661 Å; angles 83.45, 84.69, 89.97 degrees
Space group P1 (No. 1)
Symmetry-distinct sites (fractional):
Li (0.000, 0.000, 0.000) (multiplicity 1)
Si (0.717, 0.776, 0.407) (multiplicity 1)
Ge (0.620, 0.659, 0.661) (multiplicity 1)
H (0.768, 0.842, 0.263) (multiplicity 1)
F (0.503, 0.503, 0.993) (multiplicity 1)

Results
energy relative to the lowest polymorph listed for this composition	0.000	eV/atom



Entry 22:
Density functional theory data (PBE) for Tl2CuAgI5 after structural relaxation.

Cell lengths 4.308, 22.571, 13.782 Å; angles 90.00, 90.00, 90.00 degrees
Space group Cmc2_1 (No. 36)
Symmetry-distinct sites (fractional):
Tl (0.000, 0.114, 0.000) (multiplicity 4)
Tl (0.000, 0.126, 0.382) (multiplicity 4)
Cu (0.000, 0.435, 0.140) (multiplicity 4)
Ag (0.000, 0.220, 0.727) (multiplicity 4)
I (0.000, 0.036, 0.734) (multiplicity 4)
I (0.000, 0.286, 0.374) (multiplicity 4)
I (0.000, 0.323, 0.093) (multiplicity 4)
I (0.000, 0.349, 0.692) (multiplicity 4)
I (0.000, 0.491, 0.974) (multiplicity 4)

Results
energy relative to the elements, uncorrected	-0.358	eV per atom



Entry 23:
Density functional theory data (PBE) for CsNaTl2 after structural relaxation.

Cell lengths 3.9678, 3.9678, 33.5880 Å; angles 90.00, 90.00, 120.00 degrees
Space group R-3m (No. 166, hexagonal axes)
Symmetry-distinct sites (fractional):
Cs (0.0000, 0.0000, 0.0000) (multiplicity 3)
Na (0.0000, 0.0000, 0.5000) (multiplicity 3)
Tl (0.0000, 0.0000, 0.2390) (multiplicity 6)

Results
ΔE_f	0.0738	eV/atom
energy relative to the lowest polymorph listed for this composition	0.158	eV/atom



Entry 24:
Density functional theory data (PBE) for SrCa3Cd3 after structural relaxation.

Cell lengths 8.499, 8.499, 8.499 Å; angles 90.00, 90.00, 90.00 degrees
Space group Pm-3n (No. 223)
Symmetry-distinct sites (fractional):
Sr (0.000, 0.000, 0.000) (multiplicity 2)
Ca (0.000, 0.250, 0.500) (multiplicity 6)
Cd (0.000, 0.500, 0.250) (multiplicity 6)

Results
ΔE_f	0.1668	eV/atom



Entry 25:
Density functional theory data (PBE) for La2PbAuO5 after structural relaxation.

Cell lengths 6.920, 6.920, 6.147 Å; angles 90.00, 90.00, 90.00 degrees
Space group P4/mbm (No. 127)
Symmetry-distinct sites (fractional):
La (0.174, 0.326, 0.000) (multiplicity 4)
Pb (0.000, 0.000, 0.500) (multiplicity 2)
Au (0.000, 0.500, 0.500) (multiplicity 2)
O (0.000, 0.000, 0.000) (multiplicity 2)
O (0.149, 0.649, 0.246) (multiplicity 8)

Results
energy relative to the elements, uncorrected	-1.972	eV per atom